<w>
Material: ZrWO2
Method: DFT, PBE+U
State: optimized geometry

Summary:
- Calculated volume: 12.2 A^3/atom
- D(E_F): 1.47 states/eV/cell

Cell and atoms, written as CIF:
```
data_ZrWO2
_space_group_name_H-M_alt 'P 1'
_space_group_IT_number 1
_space_group_name_Hall 'P 1'
_cell_length_a 4.106
_cell_length_b 4.106
_cell_length_c 4.106
_cell_angle_alpha 60.00
_cell_angle_beta 60.00
_cell_angle_gamma 60.00
loop_
_atom_site_label
_atom_site_fract_x
_atom_site_fract_y
_atom_site_fract_z
O1 0.750 0.750 0.750
Zr1 0.000 0.000 0.000
O2 0.250 0.250 0.250
W1 0.500 0.500 0.500
```

---

<x>
Material: ZrWO2
Method: DFT, PBE+U
State: optimized geometry

Summary:
- Calculated volume: 15.3 A^3/atom
- D(E_F): 0.00 states/eV/cell

Cell and atoms, written as CIF:
```
data_ZrWO2
_space_group_name_H-M_alt 'P 1'
_space_group_IT_number 1
_space_group_name_Hall 'P 1'
_cell_length_a 4.946
_cell_length_b 4.946
_cell_length_c 6.094
_cell_angle_alpha 66.06
_cell_angle_beta 66.06
_cell_angle_gamma 90.00
loop_
_atom_site_label
_atom_site_fract_x
_atom_site_fract_y
_atom_site_fract_z
Zr1 0.500 0.500 0.000
O1 0.375 0.390 0.750
O2 0.610 0.125 0.250
Zr2 0.250 0.750 0.500
W1 0.750 0.250 0.500
O3 0.140 0.625 0.250
O4 0.875 0.860 0.750
W2 0.000 0.000 0.000
```

---

<y>
Material: ZrWO2
Method: DFT, PBE+U
State: optimized geometry

Summary:
- Calculated volume: 13.3 A^3/atom
- D(E_F): 1.77 states/eV/cell

Cell and atoms, written as CIF:
```
data_ZrWO2
_space_group_name_H-M_alt 'P 1'
_space_group_IT_number 1
_space_group_name_Hall 'P 1'
_cell_length_a 7.068
_cell_length_b 7.068
_cell_length_c 7.068
_cell_angle_alpha 24.43
_cell_angle_beta 24.43
_cell_angle_gamma 24.43
loop_
_atom_site_label
_atom_site_fract_x
_atom_site_fract_y
_atom_site_fract_z
O1 0.097 0.097 0.097
Zr1 0.500 0.500 0.500
W1 0.000 0.000 0.000
O2 0.903 0.903 0.903
```

---

Stability order, top to bottom: <y>, <x>, <w>